# 1
Compound: Cr3Tc
Source: Alexandria via LeMat-Bulk
Functional: PBE
Structure: relaxed

Cell and atoms, written as CIF:
```
data_Cr3Tc
_cell_length_a 2.7289
_cell_length_b 2.7289
_cell_length_c 23.6088
_cell_angle_alpha 90.00
_cell_angle_beta 90.00
_cell_angle_gamma 120.00
_space_group_name_H-M_alt 'R -3 m'
_space_group_IT_number 166
_space_group_name_Hall '-R 3 2"'
loop_
_atom_site_label
_atom_site_type_symbol
_atom_site_fract_x
_atom_site_fract_y
_atom_site_fract_z
Cr1 Cr 0.0000 0.0000 0.0000
Cr2 Cr 0.0000 0.0000 0.2557
Tc1 Tc 0.0000 0.0000 0.5000
```

Properties
ΔE_f = 0.2861 eV per atom
Calculated density = 8.3 Mg/m³
VASP energy = -9.52 eV/atom
Density of states at the Fermi level = 12.94 states/eV per cell
Magnetization = 0.001 Bohr magnetons per cell



# 2
Compound: TaIn2As
Source: Alexandria via LeMat-Bulk
Functional: PBE
Structure: relaxed

Cell and atoms, written as CIF:
```
data_TaIn2As
_cell_length_a 3.1065
_cell_length_b 3.1065
_cell_length_c 30.3992
_cell_angle_alpha 90.00
_cell_angle_beta 90.00
_cell_angle_gamma 120.00
_space_group_name_H-M_alt 'R -3 m'
_space_group_IT_number 166
_space_group_name_Hall '-R 3 2"'
loop_
_atom_site_label
_atom_site_type_symbol
_atom_site_fract_x
_atom_site_fract_y
_atom_site_fract_z
Ta1 Ta 0.0000 0.0000 0.0000
In1 In 0.0000 0.0000 0.2528
As1 As 0.0000 0.0000 0.5000
```

Properties
ΔE_f = 0.3253 eV per atom
Calculated density = 9.5 Mg/m³
VASP energy = -5.17 eV/atom
Density of states at the Fermi level = 8.65 states/eV per cell
Magnetization = 0.000 Bohr magnetons per cell



# 3
Compound: Tb8Nd3Er
Source: Alexandria via LeMat-Bulk
Functional: PBE
Structure: relaxed

Cell and atoms, written as CIF:
```
data_Tb8Nd3Er
_cell_length_a 8.760
_cell_length_b 8.760
_cell_length_c 11.376
_cell_angle_alpha 90.00
_cell_angle_beta 90.00
_cell_angle_gamma 90.00
_space_group_name_H-M_alt 'I -4 2 m'
_space_group_IT_number 121
_space_group_name_Hall 'I -4 2'
loop_
_atom_site_label
_atom_site_type_symbol
_atom_site_fract_x
_atom_site_fract_y
_atom_site_fract_z
Tb1 Tb 0.125 0.125 0.246
Tb2 Tb 0.245 0.245 0.991
Nd1 Nd 0.000 0.000 0.500
Nd2 Nd 0.000 0.500 0.250
Er1 Er 0.000 0.000 0.000
```

Properties
ΔE_f = 0.6104 eV per atom
Calculated density = 7.1 Mg/m³
VASP energy = -4.05 eV/atom
Density of states at the Fermi level = 36.52 states/eV per cell
Magnetization = 0.017 Bohr magnetons per cell



# 4
Compound: ZrNpPaOs
Source: Alexandria via LeMat-Bulk
Functional: PBE
Structure: relaxed

Cell and atoms, written as CIF:
```
data_ZrNpPaOs
_cell_length_a 6.866
_cell_length_b 6.866
_cell_length_c 6.866
_cell_angle_alpha 90.00
_cell_angle_beta 90.00
_cell_angle_gamma 90.00
_space_group_name_H-M_alt 'F -4 3 m'
_space_group_IT_number 216
_space_group_name_Hall 'F -4 2 3'
loop_
_atom_site_label
_atom_site_type_symbol
_atom_site_fract_x
_atom_site_fract_y
_atom_site_fract_z
Zr1 Zr 0.000 0.000 0.000
Np1 Np 0.250 0.250 0.250
Pa1 Pa 0.000 0.000 0.500
Os1 Os 0.250 0.250 0.750
```

Properties
ΔE_f = 0.0700 eV per atom
Calculated density = 15.4 Mg/m³
VASP energy = -10.48 eV/atom
Density of states at the Fermi level = 40.92 states/eV per cell
Magnetization = 17.751 Bohr magnetons per cell